#i
# Cs2LiPd | Alexandria via LeMat-Bulk | PBE | relaxed
data_Cs2LiPd
_chemical_formula_sum 'Cs8 Li4 Pd4'
_cell_length_a 13.385
_cell_length_b 13.385
_cell_length_c 4.920
_cell_angle_alpha 90.00
_cell_angle_beta 90.00
_cell_angle_gamma 90.00
_space_group_name_H-M_alt 'I -4 2 d'
_space_group_IT_number 122
_space_group_name_Hall 'I -4 2bw'
loop_
_atom_site_label
_atom_site_type_symbol
_atom_site_fract_x
_atom_site_fract_y
_atom_site_fract_z
_atom_site_occupancy
Cs1 Cs 0.070 0.750 0.125 1
Li1 Li 0.000 0.000 0.500 1
Pd1 Pd 0.000 0.000 0.000 1
# total moment = 0.0 μB per cell

***

#ii
# Cs2LiPd | Alexandria via LeMat-Bulk | PBE | relaxed
data_Cs2LiPd
_chemical_formula_sum 'Cs8 Li4 Pd4'
_cell_length_a 8.731
_cell_length_b 8.731
_cell_length_c 8.731
_cell_angle_alpha 90.00
_cell_angle_beta 90.00
_cell_angle_gamma 90.00
_space_group_name_H-M_alt 'F m -3 m'
_space_group_IT_number 225
_space_group_name_Hall '-F 4 2 3'
loop_
_atom_site_label
_atom_site_type_symbol
_atom_site_fract_x
_atom_site_fract_y
_atom_site_fract_z
_atom_site_occupancy
Cs1 Cs 0.250 0.250 0.250 1
Li1 Li 0.000 0.000 0.000 1
Pd1 Pd 0.000 0.000 0.500 1
# total moment = 3.9 μB per cell

***

Stability, lowest: #ii